Record 1
Compound: TbBiB
Source: the Open Quantum Materials Database
Functional: PBE-GGA
Structure: optimized geometry

Values from the calculation:
raw total energy = -4.789 eV/atom
symmetry = F-43m (216)
total moment = 0.01 μB/f.u.

a b c (Å): 6.491 6.491 6.491
angles (deg): 90.00 90.00 90.00
Atoms (fractional coordinates):
1 Tb 0.000 0.000 0.000
2 Tb 0.000 0.500 0.500
3 Tb 0.500 0.000 0.500
4 Tb 0.500 0.500 0.000
5 Bi 0.000 0.000 0.500
6 Bi 0.000 0.500 0.000
7 Bi 0.500 0.000 0.000
8 Bi 0.500 0.500 0.500
9 B 0.250 0.250 0.750
10 B 0.250 0.750 0.250
11 B 0.750 0.250 0.250
12 B 0.750 0.750 0.750

Record 2
Compound: TcBiB2
Source: the Open Quantum Materials Database
Functional: PBE-GGA
Structure: optimized geometry

Values from the calculation:
raw total energy = -5.003 eV/atom
symmetry = F-43m (216)
total moment = 0.18 μB/f.u.

a b c (Å): 6.198 6.198 6.198
angles (deg): 90.00 90.00 90.00
Atoms (fractional coordinates):
1 Tc 0.000 0.000 0.000
2 Tc 0.000 0.500 0.500
3 Tc 0.500 0.000 0.500
4 Tc 0.500 0.500 0.000
5 Bi 0.250 0.250 0.250
6 Bi 0.250 0.750 0.750
7 Bi 0.750 0.250 0.750
8 Bi 0.750 0.750 0.250
9 B 0.000 0.000 0.500
10 B 0.000 0.500 0.000
11 B 0.250 0.250 0.750
12 B 0.250 0.750 0.250
13 B 0.500 0.000 0.000
14 B 0.500 0.500 0.500
15 B 0.750 0.250 0.250
16 B 0.750 0.750 0.750

Record 3
Compound: TcBi2B
Source: the Open Quantum Materials Database
Functional: PBE-GGA
Structure: optimized geometry

Values from the calculation:
raw total energy = -4.798 eV/atom
symmetry = F-43m (216)
total moment = 0.00 μB/f.u.

a b c (Å): 6.845 6.845 6.845
angles (deg): 90.00 90.00 90.00
Atoms (fractional coordinates):
1 Tc 0.000 0.000 0.000
2 Tc 0.000 0.500 0.500
3 Tc 0.500 0.000 0.500
4 Tc 0.500 0.500 0.000
5 Bi 0.000 0.000 0.500
6 Bi 0.000 0.500 0.000
7 Bi 0.250 0.250 0.750
8 Bi 0.250 0.750 0.250
9 Bi 0.500 0.000 0.000
10 Bi 0.500 0.500 0.500
11 Bi 0.750 0.250 0.250
12 Bi 0.750 0.750 0.750
13 B 0.250 0.250 0.250
14 B 0.250 0.750 0.750
15 B 0.750 0.250 0.750
16 B 0.750 0.750 0.250

Record 4
Compound: Zr4TlBiB2
Source: the Open Quantum Materials Database
Functional: PBE-GGA
Structure: optimized geometry

Values from the calculation:
raw total energy = -7.225 eV/atom
symmetry = P-6m2 (187)
total moment = 0.00 μB/f.u.

a b c (Å): 3.509 3.509 15.031
angles (deg): 90.00 90.00 120.00
Atoms (fractional coordinates):
1 Zr 0.000 0.000 0.162
2 Zr 0.000 0.000 0.838
3 Zr 0.667 0.333 0.332
4 Zr 0.667 0.333 0.668
5 Tl 0.000 0.000 0.500
6 Bi 0.667 0.333 0.000
7 B 0.333 0.667 0.247
8 B 0.333 0.667 0.753

Record 5
Compound: TmBiB4
Source: the Open Quantum Materials Database
Functional: PBE-GGA
Structure: optimized geometry

Values from the calculation:
excess energy over the best structure of this formula in the dataset = 0.0 kJ/mol of formula units
raw total energy = -5.814 eV/atom
symmetry = P6/mmm (191)
total moment = 0.01 μB/f.u.

a b c (Å): 3.262 3.262 8.032
angles (deg): 90.00 90.00 120.00
Atoms (fractional coordinates):
1 Tm 0.000 0.000 0.000
2 Bi 0.000 0.000 0.500
3 B 0.333 0.667 0.227
4 B 0.333 0.667 0.773
5 B 0.667 0.333 0.227
6 B 0.667 0.333 0.773

Record 6
Compound: TmBiB4
Source: the Open Quantum Materials Database
Functional: PBE-GGA
Structure: optimized geometry

Values from the calculation:
excess energy over the best structure of this formula in the dataset = 20.8 kJ/mol of formula units
raw total energy = -5.778 eV/atom
symmetry = Immm (71)
total moment = 0.00 μB/f.u.

a b c (Å): 3.202 5.357 8.644
angles (deg): 90.00 90.00 90.00
Atoms (fractional coordinates):
1 Tm 0.000 0.000 0.000
2 Tm 0.500 0.500 0.500
3 Bi 0.000 0.000 0.500
4 Bi 0.500 0.500 0.000
5 B 0.000 0.326 0.261
6 B 0.000 0.326 0.739
7 B 0.000 0.674 0.261
8 B 0.000 0.674 0.739
9 B 0.500 0.174 0.239
10 B 0.500 0.174 0.761
11 B 0.500 0.826 0.239
12 B 0.500 0.826 0.761

Record 7
Compound: BiB2W3
Source: the Open Quantum Materials Database
Functional: PBE-GGA
Structure: optimized geometry

Values from the calculation:
raw total energy = -9.191 eV/atom
symmetry = P6_3/mmc (194)
total moment = 0.00 μB/f.u.

a b c (Å): 3.208 3.208 19.940
angles (deg): 90.00 90.00 120.00
Atoms (fractional coordinates):
1 Bi 0.000 0.000 0.250
2 Bi 0.000 0.000 0.750
3 B 0.333 0.667 0.066
4 B 0.333 0.667 0.434
5 B 0.667 0.333 0.566
6 B 0.667 0.333 0.934
7 W 0.000 0.000 0.000
8 W 0.000 0.000 0.500
9 W 0.333 0.667 0.622
10 W 0.333 0.667 0.878
11 W 0.667 0.333 0.122
12 W 0.667 0.333 0.378

Record 8
Compound: BiB2W2
Source: the Open Quantum Materials Database
Functional: PBE-GGA
Structure: optimized geometry

Values from the calculation:
raw total energy = -8.490 eV/atom
symmetry = Cmmm (65)
total moment = 0.00 μB/f.u.

a b c (Å): 3.113 14.638 3.126
angles (deg): 90.00 90.00 90.00
Atoms (fractional coordinates):
1 Bi 0.000 0.000 0.000
2 Bi 0.500 0.500 0.000
3 B 0.000 0.214 0.000
4 B 0.000 0.786 0.000
5 B 0.500 0.286 0.000
6 B 0.500 0.714 0.000
7 W 0.000 0.333 0.500
8 W 0.000 0.667 0.500
9 W 0.500 0.167 0.500
10 W 0.500 0.833 0.500

Record 9
Compound: BiBW
Source: the Open Quantum Materials Database
Functional: PBE-GGA
Structure: optimized geometry

Values from the calculation:
excess energy over the best structure of this formula in the dataset = 0.0 kJ/mol of formula units
raw total energy = -6.428 eV/atom
symmetry = F-43m (216)
total moment = 0.00 μB/f.u.

a b c (Å): 5.907 5.907 5.907
angles (deg): 90.00 90.00 90.00
Atoms (fractional coordinates):
1 Bi 0.000 0.000 0.000
2 Bi 0.000 0.500 0.500
3 Bi 0.500 0.000 0.500
4 Bi 0.500 0.500 0.000
5 B 0.250 0.250 0.250
6 B 0.250 0.750 0.750
7 B 0.750 0.250 0.750
8 B 0.750 0.750 0.250
9 W 0.000 0.000 0.500
10 W 0.000 0.500 0.000
11 W 0.500 0.000 0.000
12 W 0.500 0.500 0.500

Record 10
Compound: BiBW
Source: the Open Quantum Materials Database
Functional: PBE-GGA
Structure: optimized geometry

Values from the calculation:
excess energy over the best structure of this formula in the dataset = 113.1 kJ/mol of formula units
raw total energy = -6.038 eV/atom
symmetry = F-43m (216)
total moment = 0.83 μB/f.u.

a b c (Å): 6.224 6.224 6.224
angles (deg): 90.00 90.00 90.00
Atoms (fractional coordinates):
1 Bi 0.000 0.000 0.000
2 Bi 0.000 0.500 0.500
3 Bi 0.500 0.000 0.500
4 Bi 0.500 0.500 0.000
5 B 0.000 0.000 0.500
6 B 0.000 0.500 0.000
7 B 0.500 0.000 0.000
8 B 0.500 0.500 0.500
9 W 0.250 0.250 0.750
10 W 0.250 0.750 0.250
11 W 0.750 0.250 0.250
12 W 0.750 0.750 0.750

Record 11
Compound: BiB3W4
Source: the Open Quantum Materials Database
Functional: PBE-GGA
Structure: optimized geometry

Values from the calculation:
raw total energy = -9.413 eV/atom
symmetry = P6_3/mmc (194)
total moment = 0.01 μB/f.u.

a b c (Å): 3.181 3.181 25.516
angles (deg): 90.00 90.00 120.00
Atoms (fractional coordinates):
1 Bi 0.333 0.667 0.250
2 Bi 0.667 0.333 0.750
3 B 0.000 0.000 0.000
4 B 0.000 0.000 0.500
5 B 0.333 0.667 0.602
6 B 0.333 0.667 0.898
7 B 0.667 0.333 0.102
8 B 0.667 0.333 0.398
9 W 0.000 0.000 0.146
10 W 0.000 0.000 0.354
11 W 0.000 0.000 0.646
12 W 0.000 0.000 0.854
13 W 0.333 0.667 0.052
14 W 0.333 0.667 0.448
15 W 0.667 0.333 0.552
16 W 0.667 0.333 0.948

Record 12
Compound: ZnBi2B
Source: the Open Quantum Materials Database
Functional: PBE-GGA
Structure: optimized geometry

Values from the calculation:
raw total energy = -2.914 eV/atom
symmetry = F-43m (216)

a b c (Å): 7.232 7.232 7.232
angles (deg): 90.00 90.00 90.00
Atoms (fractional coordinates):
1 Zn 0.000 0.000 0.000
2 Zn 0.000 0.500 0.500
3 Zn 0.500 0.000 0.500
4 Zn 0.500 0.500 0.000
5 Bi 0.000 0.000 0.500
6 Bi 0.000 0.500 0.000
7 Bi 0.250 0.250 0.250
8 Bi 0.250 0.750 0.750
9 Bi 0.500 0.000 0.000
10 Bi 0.500 0.500 0.500
11 Bi 0.750 0.250 0.750
12 Bi 0.750 0.750 0.250
13 B 0.250 0.250 0.750
14 B 0.250 0.750 0.250
15 B 0.750 0.250 0.250
16 B 0.750 0.750 0.750

Record 13
Compound: ZnBiB
Source: the Open Quantum Materials Database
Functional: PBE-GGA
Structure: optimized geometry

Values from the calculation:
raw total energy = -2.772 eV/atom
symmetry = F-43m (216)

a b c (Å): 6.436 6.436 6.436
angles (deg): 90.00 90.00 90.00
Atoms (fractional coordinates):
1 Zn 0.000 0.000 0.000
2 Zn 0.000 0.500 0.500
3 Zn 0.500 0.000 0.500
4 Zn 0.500 0.500 0.000
5 Bi 0.250 0.250 0.750
6 Bi 0.250 0.750 0.250
7 Bi 0.750 0.250 0.250
8 Bi 0.750 0.750 0.750
9 B 0.000 0.000 0.500
10 B 0.000 0.500 0.000
11 B 0.500 0.000 0.000
12 B 0.500 0.500 0.500

Record 14
Compound: ZrBiB4
Source: the Open Quantum Materials Database
Functional: PBE-GGA
Structure: optimized geometry

Values from the calculation:
excess energy over the best structure of this formula in the dataset = 89.4 kJ/mol of formula units
raw total energy = -6.399 eV/atom
symmetry = Immm (71)
total moment = 0.00 μB/f.u.

a b c (Å): 3.157 5.535 8.076
angles (deg): 90.00 90.00 90.00
Atoms (fractional coordinates):
1 Zr 0.000 0.000 0.000
2 Zr 0.500 0.500 0.500
3 Bi 0.000 0.000 0.500
4 Bi 0.500 0.500 0.000
5 B 0.000 0.333 0.254
6 B 0.000 0.333 0.746
7 B 0.000 0.667 0.254
8 B 0.000 0.667 0.746
9 B 0.500 0.167 0.246
10 B 0.500 0.167 0.754
11 B 0.500 0.833 0.246
12 B 0.500 0.833 0.754